1.
Entry from the Alexandria database: V5CuGe5 after structural relaxation (PBE).

```
V5CuGe5
1.0
4.985 -2.438 0.000
4.985 2.438 0.000
-3.332 0.000 7.008
V Cu Ge
5 1 5
Cartesian
0.000 0.000 0.000
2.953 0.000 0.980
1.262 0.000 5.504
5.376 0.000 1.504
3.685 0.000 6.028
-1.666 0.000 3.504
-1.255 0.000 5.727
0.814 0.000 2.604
3.319 0.000 3.504
5.824 0.000 4.404
7.894 0.000 1.281
```

Properties
Calculated density in g/cm3: 6.6
Calculated formation energy in eV per atom: 0.181

2.
Entry from the Alexandria database: V4Cu2Ge after structural relaxation (PBE).

```
V4Cu2Ge
1.0
-2.262 2.262 6.072
2.262 -2.262 6.072
2.262 2.262 -6.072
V Cu Ge
4 2 1
Cartesian
2.262 0.000 0.000
0.000 0.000 2.408
0.000 2.262 0.000
0.000 0.000 9.736
0.000 0.000 4.808
0.000 0.000 7.336
0.000 0.000 0.000
```

Properties
Calculated density in g/cm3: 5.4
Calculated formation energy in eV per atom: 0.941

3.
Entry from the Alexandria database: VCu3Ge after structural relaxation (PBE).

```
VCu3Ge
1.0
4.446 0.000 0.000
0.000 4.446 0.000
0.000 0.000 4.446
V Cu Ge
1 3 1
Cartesian
0.000 0.000 0.000
0.000 2.223 2.223
2.223 0.000 2.223
2.223 2.223 0.000
2.223 2.223 2.223
```

Properties
Distance to the lowest polymorph of the same formula in eV per formula unit: 0.00
Calculated density in g/cm3: 5.9
Calculated formation energy in eV per atom: 0.746

4.
Entry from the Alexandria database: VCuGe after structural relaxation (PBE).

```
VCuGe
1.0
3.654 0.000 0.000
0.000 3.654 0.000
0.000 0.000 6.395
V Cu Ge
2 2 2
Cartesian
0.914 2.741 0.000
2.741 0.914 0.000
0.914 0.914 1.970
2.741 2.741 4.425
0.914 0.914 4.437
2.741 2.741 1.958
```

Properties
Calculated density in g/cm3: 7.3
Calculated formation energy in eV per atom: -0.053

5.
Entry from the Alexandria database: V5CuGe6 after structural relaxation (PBE).

```
V5CuGe6
1.0
-2.223 3.703 5.280
2.223 -3.703 5.280
2.223 3.703 -5.280
V Cu Ge
5 1 6
Cartesian
0.000 0.000 0.000
2.223 0.000 1.683
0.000 0.000 3.485
0.000 0.000 7.076
0.000 3.703 3.598
0.000 3.703 0.000
2.223 -1.818 3.530
2.223 1.893 0.000
0.000 1.886 1.750
2.223 1.818 3.530
0.000 1.810 5.280
0.000 5.521 1.750
```

Properties
Calculated density in g/cm3: 7.2
Calculated formation energy in eV per atom: -0.023

6.
Entry from the Alexandria database: VCu2GeW after structural relaxation (PBE).

```
VCu2GeW
1.0
4.392 0.000 0.000
0.000 4.392 0.000
0.000 0.000 4.507
V Cu Ge W
1 2 1 1
Cartesian
0.000 0.000 0.000
0.000 2.196 0.000
2.196 0.000 0.000
0.000 0.000 2.254
2.196 2.196 2.254
```

Properties
Calculated density in g/cm3: 8.3
Calculated formation energy in eV per atom: 1.534

7.
Entry from the Alexandria database: Y2VCuGe after structural relaxation (PBE).

```
Y2VCuGe
1.0
5.147 0.000 0.000
0.000 5.147 0.000
0.000 0.000 4.704
Y V Cu Ge
2 1 1 1
Cartesian
0.000 2.574 0.000
2.574 0.000 0.000
0.000 0.000 0.000
2.574 2.574 2.352
0.000 0.000 2.352
```

Properties
Calculated density in g/cm3: 4.9
Calculated formation energy in eV per atom: 0.446

8.
Entry from the Alexandria database: Cu3GeW after structural relaxation (PBE).

```
Cu3GeW
1.0
4.712 0.000 0.000
0.000 4.712 0.000
0.000 0.000 4.712
Cu Ge W
3 1 1
Cartesian
0.000 0.000 2.356
0.000 2.356 0.000
2.356 0.000 0.000
2.356 2.356 2.356
0.000 0.000 0.000
```

Properties
Distance to the lowest polymorph of the same formula in eV per formula unit: 1.74
Calculated density in g/cm3: 7.1
Calculated formation energy in eV per atom: 1.626